Entry 1:
BaPtRh2: relaxed, PBE.

a = 5.2069 Å, b = 5.2069 Å, c = 5.2069 Å
α = 130.66°, β = 130.66°, γ = 72.36°
Site moments in Bohr magnetons follow the coordinates.
Fractional positions:
Pt 0.7500 0.2500 0.5000  0.18
Rh 0.2500 0.7500 0.5000  0.56
Ba 0.5000 0.5000 0.0000  -0.02
Rh 0.0000 0.0000 0.0000  0.67

Total DFT energy (no corrections) (eV per atom): -5.32
Space-group type: I-4m2, No. 119
Distance to the lowest polymorph of the same formula (meV per atom): 567.3

=====

Entry 2:
BaPtRh3: relaxed, PBE.

a = 4.9252 Å, b = 4.9252 Å, c = 4.9252 Å
α = 90.00°, β = 90.00°, γ = 90.00°
Site moments in Bohr magnetons follow the coordinates.
Fractional positions:
Rh 0.0000 0.0000 0.5000  0.91
Rh 0.5000 0.0000 0.0000  0.26
Pt 0.0000 0.0000 0.0000  0.61
Rh 0.0000 0.5000 0.0000  0.52
Ba 0.5000 0.5000 0.5000  -0.02

Total DFT energy (no corrections) (eV per atom): -5.43
Space-group type: Pm-3m, No. 221
Distance to the lowest polymorph of the same formula (meV per atom): 0.0

=====

Entry 3:
BaPtRh2: relaxed, PBE.

a = 4.8462 Å, b = 4.8462 Å, c = 4.8462 Å
α = 60.00°, β = 60.00°, γ = 60.00°
Site moments in Bohr magnetons follow the coordinates.
Fractional positions:
Pt 0.2500 0.2500 0.2500  0.14
Ba 0.5000 0.5000 0.5000  0.00
Rh 0.7500 0.7500 0.7500  0.67
Rh 0.0000 0.0000 0.0000  0.85

Total DFT energy (no corrections) (eV per atom): -5.28
Space-group type: F-43m, No. 216
Distance to the lowest polymorph of the same formula (meV per atom): 605.7